Arrangement 1

First-principles (PBE) data for a relaxed CrFe2Cl crystal, as listed in Alexandria.

Cell and atoms, written as POSCAR:
```
CrFe2Cl
1.0
2.880 0.000 0.000
0.000 4.145 0.000
0.000 0.000 4.765
Cr Fe Cl
1 2 1
direct
0.000 0.500 0.500 Cr
0.000 0.000 0.000 Fe
0.500 0.500 0.000 Fe
0.500 0.000 0.500 Cl
```

Output
Its mass density is 5.81 g/cm3. The calculation puts the density of states at the Fermi level at 4.21 states/eV per cell.

=====

Arrangement 2

First-principles (PBE) data for a relaxed CrFe2Cl crystal, as listed in Alexandria.

Cell and atoms, written as POSCAR:
```
CrFe2Cl
1.0
-4.287 -1.574 -1.082
3.545 -3.076 0.027
-0.470 -0.520 2.620
Cr Fe Cl
1 2 1
direct
0.000 0.500 0.500 Cr
0.000 0.000 0.000 Fe
0.500 0.500 0.000 Fe
0.500 0.000 0.500 Cl
```

Output
Its mass density is 6.28 g/cm3. The calculation puts the density of states at the Fermi level at 5.09 states/eV per cell.

=====

Arrangement 3

First-principles (PBE) data for a relaxed CrFe2Cl crystal, as listed in Alexandria.

Cell and atoms, written as POSCAR:
```
CrFe2Cl
1.0
2.800 0.000 0.000
0.000 2.800 0.000
0.000 0.000 6.822
Cr Fe Cl
1 2 1
direct
0.500 0.500 0.750 Cr
0.000 0.000 0.987 Fe
0.000 0.000 0.513 Fe
0.500 0.500 0.250 Cl
```

Output
Its mass density is 6.18 g/cm3. The calculation puts the density of states at the Fermi level at 2.87 states/eV per cell.

=====

Arrangement 4

First-principles (PBE) data for a relaxed CrFe2Cl crystal, as listed in Alexandria.

Cell and atoms, written as POSCAR:
```
CrFe2Cl
1.0
2.933 0.000 0.000
0.000 3.304 -0.025
0.000 0.047 6.311
Cr Fe Cl
1 2 1
direct
0.500 0.750 0.750 Cr
0.000 0.250 0.936 Fe
0.000 0.250 0.564 Fe
0.500 0.250 0.250 Cl
```

Output
Its mass density is 5.41 g/cm3. The calculation puts the density of states at the Fermi level at 3.67 states/eV per cell.

=====

Most stable of them? arrangement 4.

=====

Arrangement 1

First-principles (PBE) data for a relaxed CrFe2Cl crystal, as listed in Alexandria.

Cell and atoms, written as POSCAR:
```
CrFe2Cl
1.0
-3.918 0.476 3.104
-1.541 -4.058 2.524
3.692 3.271 -0.938
Cr Fe Cl
1 2 1
direct
0.268 0.768 0.500 Cr
0.003 0.003 0.000 Fe
0.732 0.232 0.500 Fe
0.497 0.497 0.000 Cl
```

Output
Its mass density is 6.35 g/cm3. The calculation puts the density of states at the Fermi level at 4.85 states/eV per cell.

=====

Arrangement 2

First-principles (PBE) data for a relaxed CrFe2Cl crystal, as listed in Alexandria.

Cell and atoms, written as POSCAR:
```
CrFe2Cl
1.0
-1.048 -2.364 2.613
1.202 -3.292 1.110
4.112 2.764 4.448
Cr Fe Cl
1 2 1
direct
0.788 0.788 0.811 Cr
0.051 0.051 0.979 Fe
0.339 0.339 0.181 Fe
0.322 0.322 0.530 Cl
```

Output
Its mass density is 5.13 g/cm3. The calculation puts the density of states at the Fermi level at 4.43 states/eV per cell.

=====

Arrangement 3

First-principles (PBE) data for a relaxed CrFe2Cl crystal, as listed in Alexandria.

Cell and atoms, written as POSCAR:
```
CrFe2Cl
1.0
-0.390 -1.692 2.144
-1.227 -0.819 -2.331
6.417 -3.987 -1.978
Cr Fe Cl
1 2 1
direct
0.500 0.500 0.750 Cr
0.000 0.000 0.992 Fe
0.000 0.000 0.508 Fe
0.500 0.500 0.250 Cl
```

Output
Its mass density is 6.11 g/cm3. The calculation puts the density of states at the Fermi level at 4.82 states/eV per cell.

=====

Most stable of them? arrangement 2.

=====

Arrangement 1

First-principles (PBE) data for a relaxed CrFe2Cl crystal, as listed in Alexandria.

Cell and atoms, written as POSCAR:
```
CrFe2Cl
1.0
4.741 0.000 0.000
0.000 3.459 0.000
0.000 0.000 3.459
Cr Fe Cl
1 2 1
direct
0.500 0.000 0.500 Cr
0.000 0.000 0.000 Fe
0.000 0.500 0.500 Fe
0.500 0.500 0.000 Cl
```

Output
Its mass density is 5.83 g/cm3. The calculation puts the density of states at the Fermi level at 5.22 states/eV per cell.

=====

Arrangement 2

First-principles (PBE) data for a relaxed CrFe2Cl crystal, as listed in Alexandria.

Cell and atoms, written as POSCAR:
```
CrFe2Cl
1.0
-0.458 -2.352 -3.519
-0.848 -4.160 0.316
-3.841 -1.477 -1.087
Cr Fe Cl
1 2 1
direct
0.750 0.750 0.750 Cr
0.000 0.000 0.000 Fe
0.250 0.250 0.250 Fe
0.500 0.500 0.500 Cl
```

Output
Its mass density is 6.06 g/cm3. The calculation puts the density of states at the Fermi level at 5.33 states/eV per cell.

=====

Arrangement 3

First-principles (PBE) data for a relaxed CrFe2Cl crystal, as listed in Alexandria.

Cell and atoms, written as POSCAR:
```
CrFe2Cl
1.0
5.553 0.006 0.000
3.383 4.404 0.000
-4.468 -2.205 2.452
Cr Fe Cl
1 2 1
direct
0.750 0.250 0.500 Cr
0.000 0.000 0.000 Fe
0.500 0.500 0.000 Fe
0.250 0.750 0.500 Cl
```

Output
Its mass density is 5.52 g/cm3. The calculation puts the density of states at the Fermi level at 5.30 states/eV per cell.

=====

Most stable of them? arrangement 1.